No. 1
The following is a GGA-PBE calculation of a geometry-optimized La2InReC structure, from Alexandria.

Structure (POSCAR):
```
La2InReC
1.0
5.402 0.000 0.000
0.000 5.402 0.000
0.000 0.000 4.034
La In Re C
2 1 1 1
Cartesian
0.000 2.701 0.000
2.701 0.000 0.000
0.000 0.000 2.017
2.701 2.701 2.017
2.701 2.701 0.000
```

ΔH_f (0 K) in kJ per mole of atoms: -17.8
VASP energy in eV per atom: -7.037

=====

No. 2
The following is a GGA-PBE calculation of a geometry-optimized La2InCS structure, from Alexandria.

Structure (POSCAR):
```
La2InCS
1.0
5.649 0.000 0.000
0.000 5.649 0.000
0.000 0.000 3.851
La In C S
2 1 1 1
Cartesian
0.000 2.825 0.000
2.825 0.000 0.000
0.000 0.000 1.926
2.825 2.825 1.926
2.825 2.825 0.000
```

Raw formation energy in eV/atom: 0.0455
VASP energy in eV per atom: -5.143

=====

No. 3
The following is a GGA-PBE calculation of a geometry-optimized La2InCSe structure, from Alexandria.

Structure (POSCAR):
```
La2InCSe
1.0
5.794 0.000 0.000
0.000 5.794 0.000
0.000 0.000 4.069
La In C Se
2 1 1 1
Cartesian
0.000 2.897 0.000
2.897 0.000 0.000
0.000 0.000 2.034
2.897 2.897 2.034
2.897 2.897 0.000
```

Raw formation energy in eV/atom: 0.2190
VASP energy in eV per atom: -4.841

=====

No. 4
The following is a GGA-PBE calculation of a geometry-optimized La2SmInC structure, from Alexandria.

Structure (POSCAR):
```
La2SmInC
1.0
5.216 0.000 0.000
0.000 5.216 0.000
0.000 0.000 5.115
La Sm In C
2 1 1 1
Cartesian
0.000 2.608 0.000
2.608 0.000 0.000
0.000 0.000 2.558
2.608 2.608 2.558
0.000 0.000 0.000
```

ΔH_f (0 K) in kJ per mole of atoms: -32.5
VASP energy in eV per atom: -5.645

=====

No. 5
The following is a GGA-PBE calculation of a geometry-optimized LaSm2InC structure, from Alexandria.

Structure (POSCAR):
```
LaSm2InC
1.0
5.096 0.000 0.000
0.000 5.096 0.000
0.000 0.000 5.171
La Sm In C
1 2 1 1
Cartesian
0.000 0.000 0.000
0.000 2.548 2.585
2.548 0.000 2.585
2.548 2.548 0.000
0.000 0.000 2.585
```

ΔH_f (0 K) in kJ per mole of atoms: -34.1
VASP energy in eV per atom: -5.620

=====

No. 6
The following is a GGA-PBE calculation of a geometry-optimized SrLa2InC structure, from Alexandria.

Structure (POSCAR):
```
SrLa2InC
1.0
5.200 0.000 0.000
0.000 5.200 0.000
0.000 0.000 5.452
Sr La In C
1 2 1 1
Cartesian
0.000 0.000 0.000
0.000 2.600 2.726
2.600 0.000 2.726
2.600 2.600 0.000
0.000 0.000 2.726
```

ΔH_f (0 K) in kJ per mole of atoms: -16.5
VASP energy in eV per atom: -4.871

=====

No. 7
The following is a GGA-PBE calculation of a geometry-optimized La2InTcC structure, from Alexandria.

Structure (POSCAR):
```
La2InTcC
1.0
5.388 0.000 0.000
0.000 5.388 0.000
0.000 0.000 4.042
La In Tc C
2 1 1 1
Cartesian
0.000 2.694 0.000
2.694 0.000 0.000
0.000 0.000 2.021
2.694 2.694 2.021
2.694 2.694 0.000
```

ΔH_f (0 K) in kJ per mole of atoms: -21.9
VASP energy in eV per atom: -6.664

=====

No. 8
The following is a GGA-PBE calculation of a geometry-optimized LaTh2InC structure, from Alexandria.

Structure (POSCAR):
```
LaTh2InC
1.0
5.078 0.000 0.000
0.000 5.078 0.000
0.000 0.000 5.255
La Th In C
1 2 1 1
Cartesian
0.000 0.000 0.000
0.000 2.539 2.627
2.539 0.000 2.627
2.539 2.539 0.000
0.000 0.000 2.627
```

ΔH_f (0 K) in kJ per mole of atoms: -30.8
VASP energy in eV per atom: -6.665

=====

Asked for calculated density across the records above, the calculation gives 8.3, 5.9, 5.9, 6.6, 7.0, 5.5, 7.1, 8.9 g/cm³ in order.
Asked for M_tot across the records above, the calculation gives 0.0, 0.0, 0.0, 0.0, 0.0, 0.0, 0.0, 0.0 μB per formula unit in order.